1.
This record from the Alexandria database describes a PBEsol-optimized structure of Sr2Si3. The functional is meta-GGA SCAN.

Summary:
Size of the total moment in μB per cell: 0.00
DFT total energy in eV per atom: -15.09
ΔE_f (raw) in eV per atom: -0.174
Energy relative to the lowest polymorph listed for this composition in meV/atom: 166

Lattice parameters (Å, degrees): 9.8516 9.8516 9.8516 22.97 22.97 22.97
Last column: nearest neighbours and their distance in Å.
Fractional coordinates of all 5 atoms:
Sr 0.0902 0.0902 0.0902  6 Si 3.16-3.17
Sr 0.9098 0.9098 0.9098  6 Si 3.16-3.17
Si 0.3464 0.3464 0.3464  3 Si 2.39
Si 0.5000 0.5000 0.5000  6 Sr 3.16
Si 0.6536 0.6536 0.6536  3 Si 2.39


2.
This record from the Alexandria database describes a PBEsol-optimized structure of SbAsW3. The functional is meta-GGA SCAN.

Summary:
Size of the total moment in μB per cell: 0.00
DFT total energy in eV per atom: -50.37
ΔE_f (raw) in eV per atom: 2.930

Lattice parameters (Å, degrees): 4.8561 4.8561 4.8561 90.00 90.00 90.00
Last column: nearest neighbours and their distance in Å.
Fractional coordinates of all 5 atoms:
Sb 0.0000 0.0000 0.0000  6 W 2.43
As 0.5000 0.5000 0.5000  12 W 3.43
W 0.0000 0.0000 0.5000  2 Sb 2.43
W 0.0000 0.5000 0.0000  2 Sb 2.43
W 0.5000 0.0000 0.0000  2 Sb 2.43


3.
This record from the Alexandria database describes a PBEsol-optimized structure of Ni6P7O24. The functional is meta-GGA SCAN.

Summary:
Size of the total moment in μB per cell: 24.51
DFT total energy in eV per atom: -10.71
ΔE_f (raw) in eV per atom: -2.083

Lattice parameters (Å, degrees): 5.1845 26.1331 6.2554 90.00 107.18 90.00
Last column: nearest neighbours and their distance in Å.
Fractional coordinates of all 74 atoms:
Ni 0.1488 0.1859 0.2629  6 O 1.95-2.12
Ni 0.1488 0.3141 0.2629  6 O 1.95-2.12
Ni 0.1733 0.5994 0.0954  6 O 1.99-2.13
Ni 0.1733 0.9006 0.0954  6 O 1.99-2.13
Ni 0.2339 0.0553 0.6925  5 O 1.94-2.02
Ni 0.2339 0.4447 0.6925  5 O 1.94-2.02
Ni 0.7661 0.5553 0.3075  5 O 1.94-2.02
Ni 0.7661 0.9447 0.3075  5 O 1.94-2.02
Ni 0.8267 0.0994 0.9046  6 O 1.99-2.13
Ni 0.8267 0.4006 0.9046  6 O 1.99-2.13
Ni 0.8512 0.6859 0.7371  6 O 1.95-2.12
Ni 0.8512 0.8141 0.7371  6 O 1.95-2.12
P 0.2737 0.1694 0.7947  4 O 1.49-1.61
P 0.2737 0.3306 0.7947  4 O 1.49-1.61
P 0.2943 0.6081 0.6334  4 O 1.49-1.60
P 0.2943 0.8919 0.6334  4 O 1.49-1.60
P 0.3126 0.0255 0.2041  4 O 1.51-1.59
P 0.3126 0.4745 0.2041  4 O 1.51-1.59
P 0.4170 0.7500 0.9019  4 O 1.51-1.57
P 0.5830 0.2500 0.0981  4 O 1.51-1.57
P 0.6874 0.5255 0.7959  4 O 1.51-1.59
P 0.6874 0.9745 0.7959  4 O 1.51-1.59
P 0.7057 0.1081 0.3666  4 O 1.49-1.60
P 0.7057 0.3919 0.3666  4 O 1.49-1.60
P 0.7263 0.6694 0.2053  4 O 1.49-1.61
P 0.7263 0.8306 0.2053  4 O 1.49-1.61
O 0.0793 0.1652 0.9393  1 P 1.54
O 0.0793 0.3348 0.9393  1 P 1.54
O 0.1140 0.5953 0.3946  1 P 1.55
O 0.1140 0.9047 0.3946  1 P 1.55
O 0.1148 0.7500 0.7944  1 P 1.51
O 0.1189 0.6246 0.7814  1 P 1.54
O 0.1189 0.8754 0.7814  1 P 1.54
O 0.1422 0.0500 0.9819  1 P 1.55
O 0.1422 0.4500 0.9819  1 P 1.55
O 0.1480 0.1940 0.5728  1 P 1.49
O 0.1480 0.3060 0.5728  1 P 1.49
O 0.1835 0.0313 0.3901  1 P 1.51
O 0.1835 0.4687 0.3901  1 P 1.51
O 0.3902 0.2500 0.2405  1 P 1.52
O 0.3922 0.5298 0.1672  1 P 1.54
O 0.3922 0.9702 0.1672  1 P 1.54
O 0.4000 0.5527 0.7321  2 P 1.59-1.60
O 0.4000 0.9473 0.7321  2 P 1.59-1.60
O 0.4305 0.1189 0.7899  1 P 1.55
O 0.4305 0.3811 0.7899  1 P 1.55
O 0.4733 0.7027 0.0633  2 P 1.57-1.61
O 0.4733 0.7973 0.0633  2 P 1.57-1.61
O 0.4750 0.1427 0.3607  1 P 1.49
O 0.4750 0.3573 0.3607  1 P 1.49
O 0.5250 0.6427 0.6393  1 P 1.49
O 0.5250 0.8573 0.6393  1 P 1.49
O 0.5267 0.2027 0.9367  2 P 1.57-1.61
O 0.5267 0.2973 0.9367  2 P 1.57-1.61
O 0.5695 0.6189 0.2101  1 P 1.55
O 0.5695 0.8811 0.2101  1 P 1.55
O 0.6000 0.0527 0.2679  2 P 1.59-1.60
O 0.6000 0.4473 0.2679  2 P 1.59-1.60
O 0.6078 0.0298 0.8328  1 P 1.54
O 0.6078 0.4702 0.8328  1 P 1.54
O 0.6098 0.7500 0.7595  1 P 1.52
O 0.8165 0.5313 0.6099  1 P 1.51
O 0.8165 0.9687 0.6099  1 P 1.51
O 0.8520 0.6940 0.4272  1 P 1.49
O 0.8520 0.8060 0.4272  1 P 1.49
O 0.8578 0.5500 0.0181  1 P 1.55
O 0.8578 0.9500 0.0181  1 P 1.55
O 0.8811 0.1246 0.2186  1 P 1.54
O 0.8811 0.3754 0.2186  1 P 1.54
O 0.8852 0.2500 0.2056  1 P 1.51
O 0.8860 0.0953 0.6054  1 P 1.55
O 0.8860 0.4047 0.6054  1 P 1.55
O 0.9207 0.6652 0.0607  1 P 1.54
O 0.9207 0.8348 0.0607  1 P 1.54


4.
This record from the Alexandria database describes a PBEsol-optimized structure of TlCd2. The functional is meta-GGA SCAN.

Summary:
Size of the total moment in μB per cell: 0.00
DFT total energy in eV per atom: -44.34

Lattice parameters (Å, degrees): 5.6664 5.6664 8.6934 108.45 108.45 32.39
Last column: nearest neighbours and their distance in Å.
Fractional coordinates of all 6 atoms:
Tl 0.1627 0.1627 0.1120  7 Cd 3.11-3.45, 3 Tl 3.16-3.43
Tl 0.8373 0.8373 0.8880  7 Cd 3.11-3.45, 3 Tl 3.16-3.43
Cd 0.1496 0.1496 0.5369  9 Cd 2.93-3.16
Cd 0.4654 0.4654 0.2477  6 Cd 3.02-3.16, 5 Tl 3.11-3.37
Cd 0.5346 0.5346 0.7523  6 Cd 3.02-3.16, 5 Tl 3.11-3.37
Cd 0.8504 0.8504 0.4631  9 Cd 2.93-3.16


> Among the records above, which one has the highest size of the total moment?

Ni6P7O24